! Sm2Y7Th2 (PBE-GGA, optimized geometry); values from VASP
&SYSTEM
  ibrav = 0, nat = 11, ntyp = 3
/
ATOMIC_SPECIES
Y 88.91 Y.upf
Sm 150.36 Sm.upf
Th 232.04 Th.upf
ATOMIC_POSITIONS crystal
Y 0.829 0.411 0.936
Y 0.829 0.936 0.411
Y 0.171 0.064 0.589
Y 0.171 0.589 0.064
Y 0.414 0.237 0.237
Y 0.586 0.763 0.763
Y 0.000 0.000 0.000
Sm 0.500 0.782 0.218
Sm 0.500 0.218 0.782
Th 0.806 0.417 0.417
Th 0.194 0.583 0.583
CELL_PARAMETERS angstrom
5.813 1.106 1.596
0.425 7.934 1.282
0.425 -1.586 7.879
! energy relative to the lowest polymorph listed for this composition: 0.026 eV/f.u.
! final energy: -6.13 eV/atom
! formation energy from the elements: 189 meV/atom
! calculated volume: 365.7 Å³/cell
! space group: C2/m